Entry 1:
The following is a PBE calculation of Sm2Ga2BRu2 after structural relaxation, from Alexandria via LeMat-Bulk.

Cell and atoms, written as POSCAR:
```
Sm2Ga2BRu2
1.0
4.1811 0.0000 0.0000
2.0905 5.5369 -0.4544
2.0905 1.5931 5.5930
Sm Ga B Ru
2 2 1 2
Direct
0.4339 0.8333 0.2990
0.5661 0.1667 0.7010
0.1497 0.3931 0.3074
0.8503 0.6069 0.6926
0.0000 0.0000 0.0000
0.2057 0.6789 0.9097
0.7943 0.3211 0.0903
```

Computed properties:
VASP energy (eV per atom): -6.368
Theoretical density (kg/m³): 8185
Volume (Å³ per cell): 132.5
Calculated formation energy (eV/atom): -0.55

***

Entry 2:
The following is a PBE calculation of VSnCl2 after structural relaxation, from Alexandria via LeMat-Bulk.

Cell and atoms, written as POSCAR:
```
VSnCl2
1.0
3.4489 0.0000 0.0000
1.7244 2.9868 0.0000
1.7244 0.9956 11.2365
Sn Cl V
1 2 1
Direct
0.0000 0.0000 0.0000
0.8759 0.8759 0.3722
0.1241 0.1241 0.6278
0.5000 0.5000 0.5000
```

Computed properties:
Excess energy over the best structure of this formula in the dataset (meV/atom): 0.0
VASP energy (eV per atom): -4.844
Theoretical density (kg/m³): 3451
Volume (Å³ per cell): 115.7
ΔE_f (raw) (eV/f.u.): -2.6

***

Entry 3:
The following is a PBE calculation of BeSb2Au after structural relaxation, from Alexandria via LeMat-Bulk.

Cell and atoms, written as POSCAR:
```
BeSb2Au
1.0
5.1873 -0.0022 -0.0038
-1.9350 4.4784 -0.0573
1.3174 2.2996 3.8533
Au Be Sb
1 1 2
Direct
0.0000 0.5000 0.5000
0.5000 0.5000 0.0000
0.5000 0.0000 0.5000
0.0000 0.0000 0.0000
```

Computed properties:
VASP energy (eV per atom): -3.491
Theoretical density (kg/m³): 8273
Volume (Å³ per cell): 90.2
ΔE_f (raw) (eV/f.u.): 1.3

***

Entry 4:
The following is a PBE calculation of GdSnH after structural relaxation, from Alexandria via LeMat-Bulk.

Cell and atoms, written as POSCAR:
```
GdSnH
1.0
4.0792 -0.0385 0.2586
-1.9885 3.5439 -0.4103
-0.5789 -1.6566 8.8710
Sn Gd H
2 2 2
Direct
0.1369 0.7736 0.9108
0.8631 0.2264 0.0892
0.6155 0.7313 0.3465
0.3845 0.2687 0.6535
0.2987 0.0975 0.3959
0.7013 0.9025 0.6041
```

Computed properties:
Excess energy over the best structure of this formula in the dataset (meV/atom): 193.8
VASP energy (eV per atom): -7.553
Theoretical density (kg/m³): 7291
Volume (Å³ per cell): 126.2

***

Entry 5:
The following is a PBE calculation of LaHo15In4 after structural relaxation, from Alexandria via LeMat-Bulk.

Cell and atoms, written as POSCAR:
```
LaHo15In4
1.0
4.8367 0.0000 0.0000
0.0000 4.8367 0.0000
0.0000 0.0000 24.7561
Ho In La
15 4 1
Direct
0.5000 0.0000 0.5000
0.5000 0.5000 0.7922
0.5000 0.0000 0.3047
0.0000 0.5000 0.5000
0.5000 0.5000 0.0000
0.0000 0.5000 0.6953
0.5000 0.0000 0.6953
0.0000 0.5000 0.1084
0.0000 0.5000 0.8916
0.5000 0.0000 0.1084
0.5000 0.0000 0.8916
0.5000 0.5000 0.5975
0.5000 0.5000 0.4025
0.5000 0.5000 0.2078
0.0000 0.5000 0.3047
0.0000 0.0000 0.5973
0.0000 0.0000 0.4027
0.0000 0.0000 0.2079
0.0000 0.0000 0.7921
0.0000 0.0000 0.0000
```

Computed properties:
VASP energy (eV per atom): -4.418
Theoretical density (kg/m³): 8809
Volume (Å³ per cell): 579.1
Calculated formation energy (eV/atom): -0.19

***

Entry 6:
The following is a PBE calculation of BeZn2Cd after structural relaxation, from Alexandria via LeMat-Bulk.

Cell and atoms, written as POSCAR:
```
BeZn2Cd
1.0
2.6812 0.0000 0.0000
0.0000 4.3880 0.0000
0.0000 0.0000 5.4868
Be Cd Zn
1 1 2
Direct
0.5000 0.0000 0.5000
0.0000 0.5000 0.5000
0.5000 0.5000 0.0000
0.0000 0.0000 0.0000
```

Computed properties:
Excess energy over the best structure of this formula in the dataset (meV/atom): 134.5
VASP energy (eV per atom): -1.511
Theoretical density (kg/m³): 6489
Volume (Å³ per cell): 64.6
Calculated formation energy (eV/atom): 0.29

***

Entry 7:
The following is a PBE calculation of Tb4SmY8 after structural relaxation, from Alexandria via LeMat-Bulk.

Cell and atoms, written as POSCAR:
```
Tb4SmY8
1.0
6.4535 -0.0004 -3.4817
-4.1658 6.0346 -0.0005
1.1907 0.8228 9.9290
Sm Y Tb
1 8 4
Direct
0.0000 0.5000 0.5000
0.9456 0.7496 0.6952
0.5008 0.2504 0.3048
0.4345 0.2173 0.6518
0.5655 0.7827 0.3482
0.0544 0.2504 0.3048
0.4992 0.7496 0.6952
0.9456 0.1960 0.6952
0.0544 0.8040 0.3048
0.0000 0.5000 0.0000
0.5000 0.0000 0.0000
0.0000 0.0000 0.0000
0.5000 0.5000 0.0000
```

Computed properties:
VASP energy (eV per atom): -5.561
Theoretical density (kg/m³): 5869
Volume (Å³ per cell): 423.6
Calculated formation energy (eV/atom): 0.20

***

Entry 8:
The following is a PBE calculation of ZrFe2Si after structural relaxation, from Alexandria via LeMat-Bulk.

Cell and atoms, written as POSCAR:
```
ZrFe2Si
1.0
-3.3413 -1.6433 -1.9582
1.5739 -0.3797 -2.3669
1.4176 -4.4827 1.3428
Fe Zr Si
2 1 1
Direct
0.0000 0.4037 0.4781
0.0000 0.0963 0.0219
0.5000 0.7500 0.7500
0.5000 0.2500 0.2500
```

Computed properties:
VASP energy (eV per atom): -7.824
Theoretical density (kg/m³): 6512
Volume (Å³ per cell): 58.9
ΔE_f (raw) (eV/f.u.): -0.4